Material: Li2NdTmCd4
Method: DFT, GGA-PBE
State: optimized geometry

The structure belongs to space group R-3m (No. 166, hexagonal axes); the cell edges are 5.0803, 5.0803 and 25.0413 Å and the angles 90.00°, 90.00° and 120.00°. The inequivalent atoms are Li at (0.0000, 0.0000, 0.2483), Nd at (0.0000, 0.0000, 0.0000), Tm at (0.0000, 0.0000, 0.5000), Cd at (0.0000, 0.0000, 0.1278) and Cd at (0.0000, 0.0000, 0.3785).

The value obtained for the volume is 23.32 A^3/atom. The value obtained for the total energy is -2.35 eV/atom. For the spin magnetization, the calculation gives 0.00 μB per formula unit. As for the density of states at the Fermi level: 0.7423 states/eV per atom. The energy relative to the elements comes out at -0.25 eV per atom.